VASP calculation (PBE with a Hubbard U) on a relaxed MnP2CO crystal.

```
MnP2CO
1.0
4.173 0.000 0.000
0.000 4.173 0.000
0.000 0.000 3.475
Mn P C O
1 2 1 1
Direct
0.000 0.000 0.000
0.000 0.500 0.500
0.500 0.000 0.500
0.500 0.500 0.500
0.500 0.500 0.000
```

Relative energy among the computed polymorphs (eV/atom): 0.0000
Calculated density (g cm⁻³): 3.976